# 1
A plane-wave DFT calculation with PBE was carried out for crystalline Sr3CaCr at its relaxed geometry.

Properties
DFT formation energy: 1175.4 meV/atom
crystal system: cubic

abc: 6.7041 6.7041 6.7041
angles: 90.00 90.00 90.00
Closest atoms and distances in Å follow each position.
Space group Pm-3m (No. 221)
Asymmetric unit:
Sr (0.0000, 0.0000, 0.5000)  2 Ca 3.35
Ca (0.0000, 0.0000, 0.0000)  6 Sr 3.35
Cr (0.5000, 0.5000, 0.5000)  12 Sr 4.74

=====

# 2
A plane-wave DFT calculation with PBE was carried out for crystalline SrCaCr2 at its relaxed geometry.

Properties
DFT formation energy: 1028.7 meV/atom
crystal system: tetragonal

abc: 8.5297 8.5297 6.6030
angles: 90.00 90.00 90.00
Closest atoms and distances in Å follow each position.
Space group I-42d (No. 122)
Asymmetric unit:
Sr (0.0000, 0.0000, 0.0000)  4 Cr 3.18, 2 Ca 3.30
Ca (0.0000, 0.0000, 0.5000)  4 Cr 3.07, 2 Sr 3.30
Cr (0.2405, 0.2500, 0.6250)  2 Ca 3.07, 2 Sr 3.18, 2 Cr 3.31

=====

# 3
A plane-wave DFT calculation with PBE was carried out for crystalline SrCaCr2 at its relaxed geometry.

Properties
DFT formation energy: 780.4 meV/atom
crystal system: cubic

abc: 7.8245 7.8245 7.8245
angles: 90.00 90.00 90.00
Closest atoms and distances in Å follow each position.
Space group Fm-3m (No. 225)
Asymmetric unit:
Sr (0.0000, 0.0000, 0.0000)  8 Cr 3.39
Ca (0.0000, 0.0000, 0.5000)  8 Cr 3.39
Cr (0.2500, 0.2500, 0.2500)  4 Ca 3.39, 4 Sr 3.39

=====

# 4
A plane-wave DFT calculation with PBE was carried out for crystalline CaTaCr3 at its relaxed geometry.

Properties
DFT formation energy: 1160.0 meV/atom
crystal system: cubic

abc: 4.8286 4.8286 4.8286
angles: 90.00 90.00 90.00
Closest atoms and distances in Å follow each position.
Space group Pm-3m (No. 221)
Asymmetric unit:
Ca (0.0000, 0.0000, 0.0000)  12 Cr 3.41
Ta (0.5000, 0.5000, 0.5000)  6 Cr 2.41
Cr (0.0000, 0.5000, 0.5000)  2 Ta 2.41

=====

# 5
A plane-wave DFT calculation with PBE was carried out for crystalline CaTaCr at its relaxed geometry.

Properties
DFT formation energy: 763.2 meV/atom
crystal system: trigonal

abc: 3.2152 3.2152 6.9806
angles: 90.00 90.00 120.00
Closest atoms and distances in Å follow each position.
Space group P3m1 (No. 156)
Asymmetric unit:
Ca (0.0000, 0.0000, 0.0000)  3 Cr 3.11, 6 Ca 3.22, 3 Ta 3.42
Ta (0.3333, 0.6667, 0.5887)  3 Cr 2.46
Cr (0.6667, 0.3333, 0.3573)  3 Ta 2.46

=====

# 6
A plane-wave DFT calculation with PBE was carried out for crystalline Ca4TaCr at its relaxed geometry.

Properties
DFT formation energy: 1212.0 meV/atom
crystal system: cubic

abc: 9.0878 9.0878 9.0878
angles: 90.00 90.00 90.00
Closest atoms and distances in Å follow each position.
Space group F-43m (No. 216)
Asymmetric unit:
Ca (0.1254, 0.1254, 0.1254)  6 Ca 3.20-3.22
Ta (0.0000, 0.0000, 0.5000)  12 Ca 3.77, 4 Cr 3.94
Cr (0.2500, 0.2500, 0.7500)  12 Ca 3.77, 4 Ta 3.94

=====

# 7
A plane-wave DFT calculation with PBE was carried out for crystalline Ca2TaCr at its relaxed geometry.

Properties
DFT formation energy: 848.2 meV/atom
crystal system: orthorhombic

abc: 7.1590 7.1661 7.2126
angles: 90.00 90.00 90.00
Closest atoms and distances in Å follow each position.
Space group F222 (No. 22)
Asymmetric unit:
Ca (0.0000, 0.0000, 0.0000)  4 Cr 3.11, 4 Ca 3.11
Ca (0.2500, 0.2500, 0.2500)  4 Ta 3.11, 4 Ca 3.11
Ta (0.0000, 0.0000, 0.5000)  4 Cr 3.11, 4 Ca 3.11
Cr (0.2500, 0.2500, 0.7500)  4 Ta 3.11, 4 Ca 3.11

=====

# 8
A plane-wave DFT calculation with PBE was carried out for crystalline Ca2TaCr at its relaxed geometry.

Properties
DFT formation energy: 892.5 meV/atom
crystal system: monoclinic

abc: 3.1067 5.0542 6.1168
angles: 90.00 90.25 90.00
Closest atoms and distances in Å follow each position.
Space group P2/m (No. 10)
Asymmetric unit:
Ca (0.0002, 0.0000, 0.2488)  4 Ca 3.04-3.11, 4 Ta 3.33-3.34, 4 Cr 3.34
Ta (0.5000, 0.5000, 0.0000)  2 Cr 3.06, 2 Ta 3.11, 8 Ca 3.33-3.34
Cr (0.5000, 0.5000, 0.5000)  2 Ta 3.06, 2 Cr 3.11, 8 Ca 3.34

=====

# 9
A plane-wave DFT calculation with PBE was carried out for crystalline Ca2TaCr at its relaxed geometry.

Properties
DFT formation energy: 1001.4 meV/atom
crystal system: cubic

abc: 7.4182 7.4182 7.4182
angles: 90.00 90.00 90.00
Closest atoms and distances in Å follow each position.
Space group Fm-3m (No. 225)
Asymmetric unit:
Ca (0.2500, 0.2500, 0.2500)  4 Cr 3.21, 4 Ta 3.21
Ta (0.0000, 0.0000, 0.0000)  8 Ca 3.21
Cr (0.0000, 0.0000, 0.5000)  8 Ca 3.21

=====

# 10
A plane-wave DFT calculation with PBE was carried out for crystalline Ca2TaCr at its relaxed geometry.

Properties
DFT formation energy: 895.2 meV/atom
crystal system: orthorhombic

abc: 6.1292 10.0684 3.1232
angles: 90.00 90.00 90.00
Closest atoms and distances in Å follow each position.
Space group Cmmm (No. 65)
Asymmetric unit:
Ca (0.2500, 0.2500, 0.0000)  4 Ca 3.06-3.12, 4 Cr 3.33, 4 Ta 3.33
Ta (0.0000, 0.0000, 0.5000)  2 Cr 3.06, 2 Ta 3.12, 8 Ca 3.33
Cr (0.0000, 0.5000, 0.5000)  2 Ta 3.06, 2 Cr 3.12, 8 Ca 3.33

=====

# 11
A plane-wave DFT calculation with PBE was carried out for crystalline Ca2TaCr at its relaxed geometry.

Properties
DFT formation energy: 895.5 meV/atom
crystal system: trigonal

abc: 3.2228 3.2228 32.5517
angles: 90.00 90.00 120.00
Closest atoms and distances in Å follow each position.
Space group R-3m (No. 166, hexagonal axes)
Asymmetric unit:
Ca (0.0000, 0.0000, 0.2487)  6 Ca 3.22, 3 Ta 3.25, 3 Cr 3.33
Ta (0.0000, 0.0000, 0.5000)  6 Ta 3.22, 6 Ca 3.25
Cr (0.0000, 0.0000, 0.0000)  6 Cr 3.22, 6 Ca 3.33

=====

# 12
A plane-wave DFT calculation with PBE was carried out for crystalline Ca3TaCr at its relaxed geometry.

Properties
DFT formation energy: 1485.2 meV/atom
crystal system: cubic

abc: 5.4762 5.4762 5.4762
angles: 90.00 90.00 90.00
Closest atoms and distances in Å follow each position.
Space group Pm-3m (No. 221)
Asymmetric unit:
Ca (0.0000, 0.0000, 0.5000)  2 Cr 2.74
Ta (0.5000, 0.5000, 0.5000)  12 Ca 3.87
Cr (0.0000, 0.0000, 0.0000)  6 Ca 2.74

=====

- What is the formula in the seventh record?
  Ca2TaCr